# 1
First-principles (SCAN) data for a crystal of NaGaNi3 relaxed with PBEsol, as listed in Alexandria via LeMat-Bulk.

Values from the calculation:
ΔH_f (0 K) = 0.63 eV per atom
SG = Pm-3m, No. 221

abc: 4.369 4.369 4.369
angles: 90.00 90.00 90.00
Sites, in units of the cell vectors:
1 Ni 0.000 0.500 0.000
2 Ni 0.000 0.000 0.500
3 Na 0.500 0.500 0.500
4 Ni 0.500 0.000 0.000
5 Ga 0.000 0.000 0.000



# 2
First-principles (SCAN) data for a crystal of Na2GaNiTe relaxed with PBEsol, as listed in Alexandria via LeMat-Bulk.

Values from the calculation:
Formation energy (no corrections) = -0.0152 eV/atom
SG = P4/mmm, No. 123

abc: 4.475 5.185 5.185
angles: 90.00 90.00 90.00
Site moments in Bohr magnetons follow the coordinates.
Sites, in units of the cell vectors:
1 Ga 0.500 0.000 0.000  -0.02
2 Na 0.000 0.000 0.500  0.00
3 Ni 0.000 0.000 0.000  0.44
4 Te 0.500 0.500 0.500  0.03
5 Na 0.000 0.500 0.000  0.00



# 3
First-principles (SCAN) data for a crystal of NaGaO2 relaxed with PBEsol, as listed in Alexandria via LeMat-Bulk.

Values from the calculation:
Formation energy (no corrections) = -2.0534 eV/atom
SG = Pna2_1, No. 33

abc: 5.303 5.529 7.201
angles: 90.00 90.00 90.00
Sites, in units of the cell vectors:
1 O 0.654 0.540 0.411
2 Na 0.015 0.068 0.622
3 Ga 0.500 0.937 0.874
4 Na 0.515 0.932 0.378
5 Ga 0.500 0.437 0.626
6 O 0.581 0.613 0.837
7 O 0.154 0.460 0.589
8 Na 0.015 0.568 0.878
9 O 0.081 0.887 0.337
10 O 0.654 0.040 0.089
11 O 0.581 0.113 0.663
12 O 0.081 0.387 0.163
13 Ga 0.000 0.563 0.374
14 Ga 0.000 0.063 0.126
15 Na 0.515 0.432 0.122
16 O 0.154 0.960 0.911



# 4
First-principles (SCAN) data for a crystal of NaGaO2 relaxed with PBEsol, as listed in Alexandria via LeMat-Bulk.

Values from the calculation:
Formation energy (no corrections) = -2.0454 eV/atom
SG = Pbca, No. 61

abc: 5.300 10.583 14.855
angles: 90.00 90.00 90.00
Sites, in units of the cell vectors:
1 Na 0.222 0.515 0.937
2 O 0.292 0.944 0.082
3 Na 0.778 0.485 0.063
4 O 0.273 0.804 0.668
5 Na 0.722 0.985 0.063
6 O 0.865 0.978 0.209
7 O 0.792 0.944 0.418
8 O 0.227 0.196 0.168
9 O 0.708 0.444 0.418
10 Ga 0.692 0.723 0.938
11 Ga 0.302 0.976 0.687
12 O 0.155 0.271 0.456
13 Ga 0.808 0.223 0.938
14 Ga 0.692 0.777 0.438
15 Ga 0.698 0.024 0.313
16 O 0.773 0.696 0.332
17 Ga 0.302 0.524 0.187
18 O 0.345 0.729 0.956
19 O 0.708 0.056 0.918
20 O 0.773 0.804 0.832
21 O 0.792 0.556 0.918
22 O 0.845 0.729 0.544
23 Na 0.778 0.015 0.563
24 Na 0.684 0.727 0.690
25 O 0.345 0.771 0.456
26 Na 0.222 0.985 0.437
27 Ga 0.808 0.277 0.438
28 O 0.227 0.304 0.668
29 O 0.635 0.022 0.709
30 Ga 0.308 0.223 0.562
31 O 0.865 0.522 0.709
32 Ga 0.698 0.476 0.813
33 O 0.845 0.771 0.044
34 Na 0.684 0.773 0.190
35 Na 0.816 0.227 0.690
36 O 0.155 0.229 0.956
37 Ga 0.802 0.524 0.313
38 O 0.273 0.696 0.168
39 O 0.365 0.978 0.291
40 Na 0.184 0.773 0.310
41 Na 0.722 0.515 0.563
42 O 0.727 0.196 0.332
43 Ga 0.802 0.976 0.813
44 Ga 0.192 0.723 0.562
45 Ga 0.198 0.476 0.687
46 O 0.365 0.522 0.791
47 Ga 0.198 0.024 0.187
48 O 0.655 0.229 0.544
49 Ga 0.192 0.777 0.062
50 O 0.208 0.444 0.082
51 O 0.655 0.271 0.044
52 Na 0.316 0.273 0.310
53 Na 0.278 0.015 0.937
54 O 0.635 0.478 0.209
55 O 0.292 0.556 0.582
56 O 0.135 0.478 0.291
57 Ga 0.308 0.277 0.062
58 O 0.208 0.056 0.582
59 Na 0.816 0.273 0.190
60 Na 0.316 0.227 0.810
61 Na 0.278 0.485 0.437
62 Na 0.184 0.727 0.810
63 O 0.135 0.022 0.791
64 O 0.727 0.304 0.832



# 5
First-principles (SCAN) data for a crystal of NaGaSe2O6 relaxed with PBEsol, as listed in Alexandria via LeMat-Bulk.

Values from the calculation:
Formation energy (no corrections) = -1.4079 eV/atom
SG = Pnma, No. 62

abc: 5.346 7.851 12.356
angles: 90.00 90.00 90.00
Sites, in units of the cell vectors:
1 O 0.498 0.127 0.712
2 O 0.250 0.993 0.516
3 O 0.750 0.493 0.984
4 Na 0.750 0.512 0.613
5 Ga 0.250 0.201 0.600
6 Se 0.250 0.791 0.569
7 O 0.502 0.627 0.788
8 Na 0.250 0.488 0.387
9 Se 0.750 0.291 0.931
10 Na 0.750 0.988 0.113
11 Se 0.750 0.510 0.205
12 Ga 0.750 0.701 0.900
13 O 0.495 0.698 0.500
14 O 0.750 0.935 0.840
15 Se 0.750 0.990 0.705
16 O 0.005 0.698 0.500
17 O 0.002 0.127 0.712
18 O 0.250 0.435 0.660
19 Se 0.250 0.709 0.069
20 Se 0.250 0.010 0.295
21 O 0.505 0.302 0.500
22 O 0.750 0.565 0.340
23 Na 0.250 0.012 0.887
24 O 0.995 0.302 0.500
25 O 0.250 0.507 0.016
26 O 0.495 0.802 0.000
27 O 0.005 0.802 0.000
28 O 0.502 0.873 0.288
29 O 0.505 0.198 0.000
30 Se 0.250 0.490 0.795
31 O 0.998 0.627 0.788
32 O 0.995 0.198 0.000
33 Ga 0.250 0.299 0.100
34 Se 0.750 0.209 0.431
35 O 0.998 0.873 0.288
36 O 0.002 0.373 0.212
37 Ga 0.750 0.799 0.400
38 O 0.498 0.373 0.212
39 O 0.750 0.007 0.484
40 O 0.250 0.065 0.160



# 6
First-principles (SCAN) data for a crystal of NaGa3Os relaxed with PBEsol, as listed in Alexandria via LeMat-Bulk.

Values from the calculation:
ΔH_f (0 K) = -0.27 eV per atom
SG = Pm-3m, No. 221

abc: 4.786 4.786 4.786
angles: 90.00 90.00 90.00
Sites, in units of the cell vectors:
1 Ga 0.000 0.000 0.500
2 Na 0.500 0.500 0.500
3 Ga 0.500 0.000 0.000
4 Os 0.000 0.000 0.000
5 Ga 0.000 0.500 0.000



# 7
First-principles (SCAN) data for a crystal of Na2GaP relaxed with PBEsol, as listed in Alexandria via LeMat-Bulk.

Values from the calculation:
ΔH_f (0 K) = 0.14 eV per atom
SG = I-42d, No. 122

abc: 4.033 4.033 10.452
angles: 101.12 101.12 90.00
Sites, in units of the cell vectors:
1 Ga 0.250 0.750 0.500
2 Na 0.625 0.609 0.750
3 P 0.500 0.500 0.000
4 P 0.750 0.250 0.500
5 Ga 0.000 0.000 0.000
6 Na 0.859 0.375 0.250
7 Na 0.391 0.875 0.250
8 Na 0.125 0.141 0.750



# 8
First-principles (SCAN) data for a crystal of Na2GaReP relaxed with PBEsol, as listed in Alexandria via LeMat-Bulk.

Values from the calculation:
ΔH_f (0 K) = 0.56 eV per atom
SG = P4/mmm, No. 123

abc: 4.455 5.105 5.105
angles: 90.00 90.00 90.00
Site moments in Bohr magnetons follow the coordinates.
Sites, in units of the cell vectors:
1 P 0.000 0.000 0.000  -0.04
2 Re 0.500 0.000 0.000  1.09
3 Na 0.000 0.000 0.500  0.00
4 Na 0.000 0.500 0.000  0.00
5 Ga 0.500 0.500 0.500  -0.02



# 9
First-principles (SCAN) data for a crystal of NaTiGaP2 relaxed with PBEsol, as listed in Alexandria via LeMat-Bulk.

Values from the calculation:
ΔH_f (0 K) = -0.17 eV per atom
SG = P4/mmm, No. 123

abc: 4.697 4.697 4.888
angles: 90.00 90.00 90.00
Sites, in units of the cell vectors:
1 P 0.500 0.000 0.000
2 Ti 0.000 0.000 0.000
3 Na 0.500 0.500 0.500
4 P 0.000 0.500 0.000
5 Ga 0.000 0.000 0.500



# 10
First-principles (SCAN) data for a crystal of Na2GaPb2 relaxed with PBEsol, as listed in Alexandria via LeMat-Bulk.

Values from the calculation:
ΔH_f (0 K) = 0.13 eV per atom
SG = I4/mmm, No. 139

abc: 4.110 4.110 8.614
angles: 103.80 103.80 90.00
Sites, in units of the cell vectors:
1 Na 0.250 0.750 0.500
2 Na 0.750 0.250 0.500
3 Pb 0.593 0.593 0.185
4 Ga 0.000 0.000 0.000
5 Pb 0.407 0.407 0.815



# 11
First-principles (SCAN) data for a crystal of Na2GaPb2 relaxed with PBEsol, as listed in Alexandria via LeMat-Bulk.

Values from the calculation:
ΔH_f (0 K) = -0.18 eV per atom
SG = P4/mbm, No. 127

abc: 5.081 7.464 7.464
angles: 90.00 90.00 90.00
Sites, in units of the cell vectors:
1 Na 0.500 0.336 0.164
2 Pb 0.000 0.148 0.352
3 Ga 0.000 0.500 0.500
4 Ga 0.000 0.000 0.000
5 Na 0.500 0.164 0.664
6 Na 0.500 0.664 0.836
7 Pb 0.000 0.352 0.852
8 Pb 0.000 0.648 0.148
9 Pb 0.000 0.852 0.648
10 Na 0.500 0.836 0.336



# 12
First-principles (SCAN) data for a crystal of Na2GaPd2 relaxed with PBEsol, as listed in Alexandria via LeMat-Bulk.

Values from the calculation:
ΔH_f (0 K) = -0.39 eV per atom
SG = P4/mbm, No. 127

abc: 4.851 6.279 6.279
angles: 90.00 90.00 90.00
Sites, in units of the cell vectors:
1 Pd 0.000 0.146 0.354
2 Na 0.500 0.169 0.669
3 Pd 0.000 0.354 0.854
4 Na 0.500 0.669 0.831
5 Na 0.500 0.831 0.331
6 Ga 0.000 0.000 0.000
7 Na 0.500 0.331 0.169
8 Ga 0.000 0.500 0.500
9 Pd 0.000 0.854 0.646
10 Pd 0.000 0.646 0.146



no.,N(E_F) (states/eV/f.u.),raw total energy (eV per atom)
1,0.880,-13.18
2,3.721,-15.66
3,0.000,-10.31
4,0.000,-10.30
5,0.000,-11.22
6,0.512,-25.30
7,1.886,-8.65
8,3.006,-20.69
9,2.166,-11.65
10,2.623,-35.14
11,1.787,-35.45
12,0.786,-18.46